The following is a GGA-PBE calculation of a relaxed KMnSbS3 crystal, from Alexandria via LeMat-Bulk.

Geometry as POSCAR:
```
KMnSbS3
1.0
9.2136 0.0000 0.0000
0.0000 4.0362 0.0000
-1.8291 0.0000 9.2447
K Mn Sb S
2 2 2 6
Cartesian
1.2067 1.0090 1.9727 K
6.1778 3.0271 7.2721 K
-0.1658 1.0090 5.5550 Mn
7.5504 3.0271 3.6897 Mn
1.7067 3.0271 7.9451 Sb
5.6778 1.0090 1.2997 Sb
-0.1405 1.0090 7.9584 S
0.6862 3.0271 4.4958 S
3.6380 3.0271 1.1722 S
3.7465 1.0090 8.0725 S
6.6983 1.0090 4.7489 S
7.5250 3.0271 1.2863 S
```

Results
uncorrected formation energy: -0.65 eV/atom
total magnetic moment: 0.83 μB per atom

The following is a GGA-PBE calculation of a relaxed K2MnSb2S6 crystal, from Alexandria via LeMat-Bulk.

Geometry as POSCAR:
```
K2MnSb2S6
1.0
3.3679 -5.6915 0.0000
3.3679 5.6915 0.0000
-2.3811 0.0000 7.4813
K Mn Sb S
2 1 2 6
Cartesian
3.3679 3.6928 0.0000 K
3.3679 -3.6928 0.0000 K
-1.1906 0.0000 3.7407 Mn
2.1773 1.9160 3.7407 Sb
2.1773 -1.9160 3.7407 Sb
-0.1923 1.6842 5.1424 S
0.7310 0.0000 2.3521 S
-0.1923 -1.6842 5.1424 S
4.5470 1.6842 2.3389 S
3.6236 0.0000 5.1293 S
4.5470 -1.6842 2.3389 S
```

Results
uncorrected formation energy: -0.62 eV/atom
total magnetic moment: 0.28 μB per atom

The following is a GGA-PBE calculation of a relaxed K3Sc2MnS6 crystal, from Alexandria via LeMat-Bulk.

Geometry as POSCAR:
```
K3Sc2MnS6
1.0
3.3612 -5.5897 0.0000
3.3612 5.5897 0.0000
-2.3557 0.0000 7.2696
K Sc Mn S
3 2 1 6
Cartesian
0.0000 0.0000 0.0000 K
3.3612 1.9056 0.0000 K
3.3612 -1.9056 0.0000 K
2.1833 3.7709 3.6348 Sc
2.1833 -3.7709 3.6348 Sc
2.1833 0.0000 3.6348 Mn
1.1586 1.7655 2.3100 S
-0.1441 0.0000 5.1083 S
1.1586 -1.7655 2.3100 S
3.2080 1.7655 4.9596 S
4.5107 0.0000 2.1613 S
3.2080 -1.7655 4.9596 S
```

Results
uncorrected formation energy: -1.42 eV/atom
total magnetic moment: 0.33 μB per atom